Entry one
Computed, not measured: crystalline GeIrPt3 at its relaxed geometry at the PBE level of DFT.

Fermi-level density of states   1.688 states/eV per atom
Space-group type   Pm-3m

Cell: 4.5687 4.5687 4.5687 Å, 90.00 90.00 90.00°
Closest atoms and distances in Å follow each position.
Element x y z (fractional)
Ge1 0.0000 0.0000 0.0000  6 Pt 2.28
Ir1 0.5000 0.5000 0.5000  12 Pt 3.23
Pt1 0.0000 0.0000 0.5000  2 Ge 2.28
Pt2 0.0000 0.5000 0.0000  2 Ge 2.28
Pt3 0.5000 0.0000 0.0000  2 Ge 2.28

---

Entry two
Computed, not measured: crystalline GeIrPt3 at its relaxed geometry at the PBE level of DFT.

Fermi-level density of states   2.035 states/eV per atom
Space-group type   Pm-3m

Cell: 4.8524 4.8524 4.8524 Å, 90.00 90.00 90.00°
Closest atoms and distances in Å follow each position.
Element x y z (fractional)
Ge1 0.0000 0.0000 0.0000  12 Pt 3.43
Ir1 0.5000 0.5000 0.5000  6 Pt 2.43
Pt1 0.0000 0.5000 0.5000  2 Ir 2.43
Pt2 0.5000 0.0000 0.5000  2 Ir 2.43
Pt3 0.5000 0.5000 0.0000  2 Ir 2.43

---

Stability check: which of them is most stable? entry one.

---

Entry one
Computed, not measured: crystalline GeIr3Pt at its relaxed geometry at the PBE level of DFT.

Fermi-level density of states   1.526 states/eV per atom
Space-group type   Pm-3m

Cell: 4.8205 4.8205 4.8205 Å, 90.00 90.00 90.00°
Closest atoms and distances in Å follow each position.
Element x y z (fractional)
Ge1 0.0000 0.0000 0.0000  12 Ir 3.41
Ir1 0.0000 0.5000 0.5000  2 Pt 2.41
Ir2 0.5000 0.0000 0.5000  2 Pt 2.41
Ir3 0.5000 0.5000 0.0000  2 Pt 2.41
Pt1 0.5000 0.5000 0.5000  6 Ir 2.41

---

Entry two
Computed, not measured: crystalline GeIr3Pt at its relaxed geometry at the PBE level of DFT.

Fermi-level density of states   1.656 states/eV per atom
Space-group type   Pm-3m

Cell: 4.5183 4.5183 4.5183 Å, 90.00 90.00 90.00°
Closest atoms and distances in Å follow each position.
Element x y z (fractional)
Ge1 0.0000 0.0000 0.0000  6 Ir 2.26
Ir1 0.0000 0.0000 0.5000  2 Ge 2.26
Ir2 0.0000 0.5000 0.0000  2 Ge 2.26
Ir3 0.5000 0.0000 0.0000  2 Ge 2.26
Pt1 0.5000 0.5000 0.5000  12 Ir 3.19

---

Stability check: which of them is most stable? entry two.